No. 1
DFT (PBE) results for K3PaSn2Se6 after structural relaxation.

Computed properties:
Total DFT energy (no corrections) = -4.587 eV/atom
SG = C2/m (12)
Formation energy without anion corrections = -1.11 eV per atom

Cell: 7.5710 7.5710 7.9302 Å, 99.17 99.17 119.98°
Fractional coordinates of all 12 atoms:
K1 0.1737 0.8263 0.5000
K2 0.8263 0.1737 0.5000
K3 0.5000 0.5000 0.5000
Pa1 0.0000 0.0000 0.0000
Sn1 0.3346 0.6654 0.0000
Sn2 0.6654 0.3346 0.0000
Se1 0.9317 0.6212 0.7950
Se2 0.7591 0.7591 0.2059
Se3 0.0683 0.3788 0.2050
Se4 0.6212 0.9317 0.7950
Se5 0.2409 0.2409 0.7941
Se6 0.3788 0.0683 0.2050


No. 2
DFT (PBE) results for K2PaSnSe4 after structural relaxation.

Computed properties:
Total DFT energy (no corrections) = -4.865 eV/atom
SG = P2/m (10)
Formation energy without anion corrections = -1.16 eV per atom

Cell: 4.3104 7.6268 7.9594 Å, 107.64 90.00 90.00°
Each line ends with the local moment (μB).
Fractional coordinates of all 8 atoms:
K1 0.5000 0.0000 0.5000  0.00
K2 0.0000 0.5000 0.5000  0.00
Pa1 0.5000 0.5000 0.0000  1.01
Sn1 0.0000 0.0000 0.0000  0.00
Se1 0.5000 0.2550 0.2070  -0.02
Se2 0.5000 0.7450 0.7930  -0.02
Se3 0.0000 0.2768 0.7949  -0.02
Se4 0.0000 0.7232 0.2051  -0.02


No. 3
DFT (PBE) results for K3Sr2PaSe6 after structural relaxation.

Computed properties:
Total DFT energy (no corrections) = -4.736 eV/atom
SG = C2/m (12)
Formation energy without anion corrections = -1.65 eV per atom

Cell: 7.6700 7.6700 8.0646 Å, 99.22 99.22 119.97°
Fractional coordinates of all 12 atoms:
K1 0.1712 0.8288 0.5000
K2 0.8288 0.1712 0.5000
K3 0.5000 0.5000 0.5000
Sr1 0.3336 0.6664 0.0000
Sr2 0.6664 0.3336 0.0000
Pa1 0.0000 0.0000 0.0000
Se1 0.9298 0.6268 0.7896
Se2 0.7689 0.7689 0.2093
Se3 0.0702 0.3732 0.2104
Se4 0.6268 0.9298 0.7896
Se5 0.2311 0.2311 0.7907
Se6 0.3732 0.0702 0.2104


No. 4
DFT (PBE) results for K3TbPa3Se8 after structural relaxation.

Computed properties:
Total DFT energy (no corrections) = -5.734 eV/atom
SG = R-3m (166)
Formation energy without anion corrections = -1.45 eV per atom

Cell: 8.3048 8.3043 9.2565 Å, 116.65 90.00 120.00°
Each line ends with the local moment (μB).
Fractional coordinates of all 15 atoms:
K1 0.0000 0.0000 0.0000  0.00
K2 0.0000 0.5000 0.0000  0.00
K3 0.5000 0.5000 0.0000  0.00
Tb1 0.0000 0.0000 0.5000  0.12
Pa1 0.5000 0.0000 0.5000  1.32
Pa2 0.5000 0.5000 0.5000  1.32
Pa3 0.0000 0.5000 0.5000  1.32
Se1 0.2628 0.5256 0.2884  -0.03
Se2 0.7372 0.4744 0.7116  -0.03
Se3 0.7640 0.5281 0.2943  -0.02
Se4 0.2360 0.4719 0.7057  -0.02
Se5 0.7640 0.0302 0.2943  -0.02
Se6 0.2360 0.9698 0.7057  -0.02
Se7 0.2662 0.0302 0.2943  -0.02
Se8 0.7338 0.9698 0.7057  -0.02


No. 5
DFT (PBE) results for K3Tb2PaSe6 after structural relaxation.

Computed properties:
Total DFT energy (no corrections) = -5.175 eV/atom
SG = C2/m (12)
Formation energy without anion corrections = -1.60 eV per atom

Cell: 7.3027 7.3027 8.0970 Å, 98.64 98.64 120.00°
Each line ends with the local moment (μB).
Fractional coordinates of all 12 atoms:
K1 0.1677 0.8323 0.5000  0.00
K2 0.8323 0.1677 0.5000  0.00
K3 0.5000 0.5000 0.5000  0.00
Tb1 0.3335 0.6665 0.0000  0.12
Tb2 0.6665 0.3335 0.0000  0.12
Pa1 0.0000 0.0000 0.0000  1.26
Se1 0.9306 0.5988 0.7917  -0.01
Se2 0.7378 0.7378 0.2085  -0.01
Se3 0.0694 0.4012 0.2083  -0.01
Se4 0.5988 0.9306 0.7917  -0.01
Se5 0.2622 0.2622 0.7915  -0.01
Se6 0.4012 0.0694 0.2083  -0.01


No. 6
DFT (PBE) results for K2TbPaSe4 after structural relaxation.

Computed properties:
Total DFT energy (no corrections) = -5.304 eV/atom
SG = P2/m (10)
Formation energy without anion corrections = -1.52 eV per atom

Cell: 4.1790 7.3062 8.1271 Å, 107.12 90.00 90.00°
Each line ends with the local moment (μB).
Fractional coordinates of all 8 atoms:
K1 0.5000 0.0000 0.5000  0.00
K2 0.0000 0.5000 0.5000  0.00
Tb1 0.5000 0.5000 0.0000  0.15
Pa1 0.0000 0.0000 0.0000  1.39
Se1 0.5000 0.2379 0.2109  -0.02
Se2 0.5000 0.7621 0.7891  -0.02
Se3 0.0000 0.2630 0.7917  -0.01
Se4 0.0000 0.7370 0.2083  -0.01